Material: SmThPdPt
Method: DFT, PBE
State: optimized geometry

Cell: 5.093 5.093 5.093 Å, 60.00 60.00 60.00°
Element x y z (fractional)
Sm 0.000 0.000 0.000
Th 0.500 0.500 0.500
Pd 0.250 0.250 0.250
Pt 0.750 0.750 0.750

calculated formation energy = -0.893 eV per atom
M_tot = 0.00 μB/cell
polymorph energy (0 for the lowest one) = 144 meV/atom
space group = No. 216
raw total energy = -26.943 eV per cell


Material: SmThPdPt
Method: DFT, PBE
State: optimized geometry

Cell: 4.480 5.934 5.934 Å, 37.87 90.00 90.00°
Element x y z (fractional)
Sm 0.000 0.000 0.000
Th 0.500 0.727 0.727
Pd 0.500 0.450 0.450
Pt 0.000 0.266 0.266

calculated formation energy = -1.037 eV per atom
M_tot = 0.00 μB/cell
polymorph energy (0 for the lowest one) = 0 meV/atom
space group = No. 38
raw total energy = -27.519 eV per cell


Material: SmTlPdPt
Method: DFT, PBE
State: optimized geometry

Cell: 4.907 4.907 4.907 Å, 60.00 60.00 60.00°
Element x y z (fractional)
Sm 0.000 0.000 0.000
Tl 0.500 0.500 0.500
Pd 0.750 0.750 0.750
Pt 0.250 0.250 0.250

calculated formation energy = -0.646 eV per atom
M_tot = 0.00 μB/cell
space group = No. 216
raw total energy = -20.904 eV per cell


Material: SmYPdPt
Method: DFT, PBE
State: optimized geometry

Cell: 4.527 5.670 5.670 Å, 39.41 90.00 90.00°
Element x y z (fractional)
Sm 0.000 0.000 0.000
Y 0.500 0.725 0.725
Pd 0.500 0.448 0.448
Pt 0.000 0.275 0.275

calculated formation energy = -1.057 eV per atom
M_tot = 0.00 μB/cell
polymorph energy (0 for the lowest one) = 0 meV/atom
space group = No. 38
raw total energy = -26.646 eV per cell


Material: SmYPdPt
Method: DFT, PBE
State: optimized geometry

Cell: 5.010 5.010 5.010 Å, 60.00 60.00 60.00°
Element x y z (fractional)
Sm 0.000 0.000 0.000
Y 0.500 0.500 0.500
Pd 0.750 0.750 0.750
Pt 0.250 0.250 0.250

calculated formation energy = -0.997 eV per atom
M_tot = 0.00 μB/cell
polymorph energy (0 for the lowest one) = 60 meV/atom
space group = No. 216
raw total energy = -26.406 eV per cell


Material: SmZn3PdPt
Method: DFT, PBE
State: optimized geometry

Cell: 6.844 6.844 5.459 Å, 90.00 90.00 107.54°
Element x y z (fractional)
Sm 0.196 0.804 0.750
Sm 0.804 0.196 0.250
Zn 0.243 0.243 0.000
Zn 0.243 0.243 0.500
Zn 0.324 0.676 0.250
Zn 0.676 0.324 0.750
Zn 0.757 0.757 0.000
Zn 0.757 0.757 0.500
Pd 0.447 0.553 0.750
Pd 0.553 0.447 0.250
Pt 0.091 0.909 0.250
Pt 0.909 0.091 0.750

calculated formation energy = -0.469 eV per atom
M_tot = 0.00 μB/cell
space group = No. 63
raw total energy = -45.179 eV per cell


Material: SmZnPdPt
Method: DFT, PBE
State: optimized geometry

Cell: 4.752 4.752 4.752 Å, 60.00 60.00 60.00°
Element x y z (fractional)
Sm 0.000 0.000 0.000
Zn 0.500 0.500 0.500
Pd 0.250 0.250 0.250
Pt 0.750 0.750 0.750

calculated formation energy = -0.737 eV per atom
M_tot = 0.00 μB/cell
polymorph energy (0 for the lowest one) = 91 meV/atom
space group = No. 216
raw total energy = -20.174 eV per cell


Material: Sm2Zn3PdPt12
Method: DFT, PBE
State: optimized geometry

Cell: 8.083 8.083 8.083 Å, 59.13 59.13 59.13°
Element x y z (fractional)
Sm 0.122 0.122 0.122
Sm 0.878 0.878 0.878
Zn 0.000 0.500 0.500
Zn 0.500 0.000 0.500
Zn 0.500 0.500 0.000
Pd 0.500 0.500 0.500
Pt 0.107 0.634 0.634
Pt 0.120 0.120 0.632
Pt 0.120 0.632 0.120
Pt 0.366 0.366 0.893
Pt 0.366 0.893 0.366
Pt 0.368 0.880 0.880
Pt 0.632 0.120 0.120
Pt 0.634 0.107 0.634
Pt 0.634 0.634 0.107
Pt 0.880 0.368 0.880
Pt 0.880 0.880 0.368
Pt 0.893 0.366 0.366

calculated formation energy = -0.151 eV per atom
M_tot = 0.00 μB/cell
space group = No. 166
raw total energy = -93.668 eV per cell


Material: Sm2Zn2PdPt5
Method: DFT, PBE
State: optimized geometry

Cell: 9.546 9.546 3.911 Å, 90.00 90.00 90.00°
Element x y z (fractional)
Sm 0.180 0.320 0.000
Sm 0.320 0.820 0.000
Sm 0.680 0.180 0.000
Sm 0.820 0.680 0.000
Zn 0.119 0.619 0.000
Zn 0.381 0.119 0.000
Zn 0.619 0.881 0.000
Zn 0.881 0.381 0.000
Pd 0.000 0.000 0.000
Pd 0.500 0.500 0.000
Pt 0.000 0.500 0.500
Pt 0.065 0.795 0.500
Pt 0.205 0.065 0.500
Pt 0.295 0.565 0.500
Pt 0.435 0.295 0.500
Pt 0.500 0.000 0.500
Pt 0.565 0.705 0.500
Pt 0.705 0.435 0.500
Pt 0.795 0.935 0.500
Pt 0.935 0.205 0.500

calculated formation energy = -0.766 eV per atom
M_tot = 0.00 μB/cell
space group = No. 127
raw total energy = -110.081 eV per cell


Material: SmZnPdPt
Method: DFT, PBE
State: optimized geometry

Cell: 5.334 5.334 5.334 Å, 48.91 48.91 48.91°
Element x y z (fractional)
Sm 0.000 0.000 0.000
Zn 0.494 0.494 0.494
Pd 0.213 0.213 0.213
Pt 0.785 0.785 0.785

calculated formation energy = -0.828 eV per atom
M_tot = 0.00 μB/cell
polymorph energy (0 for the lowest one) = 0 meV/atom
space group = No. 160
raw total energy = -20.539 eV per cell


Material: SmZrPdPt
Method: DFT, PBE
State: optimized geometry

Cell: 4.892 4.892 4.892 Å, 60.00 60.00 60.00°
Element x y z (fractional)
Sm 0.000 0.000 0.000
Zr 0.500 0.500 0.500
Pd 0.250 0.250 0.250
Pt 0.750 0.750 0.750

calculated formation energy = -0.785 eV per atom
M_tot = 0.00 μB/cell
space group = No. 216
raw total energy = -27.640 eV per cell


Material: Sn4Pd7Pt6
Method: DFT, PBE
State: optimized geometry

Cell: 7.308 7.308 7.308 Å, 109.47 109.47 109.47°
Element x y z (fractional)
Sn 0.000 0.000 0.500
Sn 0.000 0.500 0.000
Sn 0.500 0.000 0.000
Sn 0.500 0.500 0.500
Pd 0.000 0.000 0.000
Pd 0.250 0.500 0.750
Pd 0.250 0.750 0.500
Pd 0.500 0.250 0.750
Pd 0.500 0.750 0.250
Pd 0.750 0.250 0.500
Pd 0.750 0.500 0.250
Pt 0.000 0.298 0.298
Pt 0.000 0.702 0.702
Pt 0.298 0.000 0.298
Pt 0.298 0.298 0.000
Pt 0.702 0.000 0.702
Pt 0.702 0.702 0.000

calculated formation energy = -0.163 eV per atom
M_tot = 0.00 μB/cell
space group = No. 229
raw total energy = -91.382 eV per cell


Material: Sn4Pd2Pt
Method: DFT, PBE
State: optimized geometry

Cell: 3.781 6.751 6.947 Å, 116.21 105.70 90.06°
Element x y z (fractional)
Sn 0.095 0.454 0.193
Sn 0.364 0.042 0.726
Sn 0.636 0.958 0.274
Sn 0.905 0.546 0.807
Pd 0.254 0.299 0.505
Pd 0.746 0.701 0.495
Pt 0.000 0.000 0.000

calculated formation energy = -0.449 eV per atom
M_tot = 0.00 μB/cell
space group = No. 2
raw total energy = -35.580 eV per cell


Material: SnPd8Pt2
Method: DFT, PBE
State: optimized geometry

Cell: 6.705 6.705 4.756 Å, 102.12 102.12 84.24°
Element x y z (fractional)
Sn 0.000 0.000 0.000
Pd 0.161 0.669 0.207
Pd 0.279 0.279 0.122
Pd 0.331 0.839 0.793
Pd 0.425 0.425 0.708
Pd 0.575 0.575 0.292
Pd 0.669 0.161 0.207
Pd 0.721 0.721 0.878
Pd 0.839 0.331 0.793
Pt 0.148 0.148 0.546
Pt 0.852 0.852 0.454

calculated formation energy = 0.178 eV per atom
M_tot = 0.00 μB/cell
polymorph energy (0 for the lowest one) = 384 meV/atom
space group = No. 12
raw total energy = -55.666 eV per cell


Material: Sn2Pd2Pt15
Method: DFT, PBE
State: optimized geometry

Cell: 6.986 6.986 6.986 Å, 83.16 83.16 83.16°
Element x y z (fractional)
Sn 0.180 0.180 0.180
Sn 0.820 0.820 0.820
Pd 0.387 0.387 0.387
Pd 0.613 0.613 0.613
Pt 0.000 0.500 0.500
Pt 0.161 0.500 0.839
Pt 0.161 0.839 0.500
Pt 0.167 0.167 0.677
Pt 0.167 0.677 0.167
Pt 0.323 0.833 0.833
Pt 0.500 0.000 0.500
Pt 0.500 0.161 0.839
Pt 0.500 0.500 0.000
Pt 0.500 0.839 0.161
Pt 0.677 0.167 0.167
Pt 0.833 0.323 0.833
Pt 0.833 0.833 0.323
Pt 0.839 0.161 0.500
Pt 0.839 0.500 0.161

calculated formation energy = -0.017 eV per atom
M_tot = 0.00 μB/cell
space group = No. 166
raw total energy = -109.323 eV per cell


Material: Sn2Pd8Pt3
Method: DFT, PBE
State: optimized geometry

Cell: 10.283 10.283 10.283 Å, 29.20 29.20 29.20°
Element x y z (fractional)
Sn 0.134 0.134 0.134
Sn 0.866 0.866 0.866
Pd 0.221 0.221 0.221
Pd 0.226 0.226 0.724
Pd 0.226 0.724 0.226
Pd 0.276 0.774 0.774
Pd 0.724 0.226 0.226
Pd 0.774 0.276 0.774
Pd 0.774 0.774 0.276
Pd 0.779 0.779 0.779
Pt 0.314 0.314 0.314
Pt 0.500 0.500 0.500
Pt 0.686 0.686 0.686

calculated formation energy = 0.051 eV per atom
M_tot = 0.00 μB/cell
space group = No. 166
raw total energy = -67.010 eV per cell


Material: SnPd5Pt
Method: DFT, PBE
State: optimized geometry

Cell: 4.078 4.078 7.331 Å, 90.00 90.00 90.00°
Element x y z (fractional)
Sn 0.000 0.000 0.000
Pd 0.000 0.500 0.268
Pd 0.000 0.500 0.732
Pd 0.500 0.000 0.268
Pd 0.500 0.000 0.732
Pd 0.500 0.500 0.000
Pt 0.000 0.000 0.500

calculated formation energy = -0.096 eV per atom
M_tot = 0.00 μB/cell
polymorph energy (0 for the lowest one) = 0 meV/atom
space group = No. 123
raw total energy = -36.677 eV per cell


Material: SnPd14Pt
Method: DFT, PBE
State: optimized geometry

Cell: 9.208 5.600 5.600 Å, 60.36 90.00 90.00°
Element x y z (fractional)
Sn 0.000 0.000 0.000
Pd 0.000 0.001 0.500
Pd 0.000 0.500 0.001
Pd 0.250 0.333 0.832
Pd 0.250 0.832 0.333
Pd 0.251 0.333 0.333
Pd 0.252 0.833 0.833
Pd 0.500 0.165 0.165
Pd 0.500 0.165 0.665
Pd 0.500 0.665 0.165
Pd 0.500 0.665 0.665
Pd 0.748 0.833 0.833
Pd 0.749 0.333 0.333
Pd 0.750 0.333 0.832
Pd 0.750 0.832 0.333
Pt 0.000 0.500 0.500

calculated formation energy = -0.114 eV per atom
M_tot = 0.00 μB/cell
space group = No. 38
raw total energy = -84.566 eV per cell


Material: SnPdPt4
Method: DFT, PBE
State: optimized geometry

Cell: 4.710 4.710 5.514 Å, 106.14 106.14 109.40°
Element x y z (fractional)
Sn 0.000 0.000 0.000
Pd 0.500 0.500 0.500
Pt 0.059 0.430 0.745
Pt 0.430 0.059 0.745
Pt 0.570 0.941 0.255
Pt 0.941 0.570 0.255

calculated formation energy = -0.181 eV per atom
M_tot = 0.00 μB/cell
polymorph energy (0 for the lowest one) = 66 meV/atom
space group = No. 12
raw total energy = -34.447 eV per cell


Material: SnPd2Pt2
Method: DFT, PBE
State: optimized geometry

Cell: 7.285 7.285 7.285 Å, 151.00 151.00 41.47°
Element x y z (fractional)
Sn 0.000 0.000 0.000
Pd 0.250 0.750 0.500
Pd 0.750 0.250 0.500
Pt 0.401 0.401 0.000
Pt 0.599 0.599 0.000

calculated formation energy = 0.017 eV per atom
M_tot = 0.00 μB/cell
polymorph energy (0 for the lowest one) = 355 meV/atom
space group = No. 139
raw total energy = -26.385 eV per cell